(1)
Here is crystalline SrCd2Te at its relaxed geometry from Alexandria. Energies are from PBE.

Computed properties:
Final energy (eV per atom): -2.16
Formation energy without anion corrections (eV per atom): -0.4951
Symmetry: I-42d

```
8
Lattice="-4.557 4.557 3.144 4.557 -4.557 3.144 4.557 4.557 -3.144" Properties=species:S:1:pos:R:3 pbc="T T T"
Sr 0.000 0.000 0.000
Sr 0.000 4.557 1.572
Cd 2.278 -1.987 2.358
Cd 2.570 2.278 0.786
Cd 2.278 6.544 -0.786
Cd 1.987 2.278 3.930
Te 4.557 0.000 1.572
Te 0.000 0.000 3.144
```

***

(2)
Here is crystalline SrZr2NbIr at its relaxed geometry from Alexandria. Energies are from PBE.

Computed properties:
Energy relative to the elements (eV/atom): 0.2997
Final energy (eV per atom): -7.24
Excess energy over the best structure of this formula in the dataset (meV per atom): 0.0
Symmetry: P4/mmm

```
5
Lattice="5.179 0.000 0.000 0.000 5.179 0.000 0.000 0.000 5.069" Properties=species:S:1:pos:R:3 pbc="T T T"
Sr 0.000 0.000 0.000
Zr 0.000 2.589 2.535
Zr 2.589 0.000 2.535
Nb 2.589 2.589 0.000
Ir 2.589 2.589 2.535
```

***

(3)
Here is crystalline Ho2NpF11 at its relaxed geometry from Alexandria. Energies are from PBE.

Computed properties:
Final energy (eV per atom): -6.76
Formation energy without anion corrections (eV per atom): -3.7085
Symmetry: Ibam

```
28
Lattice="-4.014 5.142 5.528 4.014 -5.142 5.528 4.014 5.142 -5.528" Properties=species:S:1:pos:R:3 pbc="T T T"
Ho 1.078 1.869 0.000
Ho 5.092 3.273 0.000
Ho -1.078 1.869 5.528
Ho 2.936 3.273 5.528
Np 4.014 0.000 2.764
Np 0.000 5.142 2.764
F 0.000 0.000 0.000
F 4.792 1.775 -1.671
F 5.687 -0.663 1.524
F 4.792 -1.775 3.857
F 2.341 0.663 1.524
F 2.989 -2.820 5.528
F 2.989 2.820 0.000
F 2.341 -0.663 4.005
F 4.792 1.775 1.671
F 1.673 5.804 -1.524
F 0.779 3.366 1.671
F 0.000 0.000 5.528
F 3.235 1.775 3.857
F 2.341 -0.663 7.052
F -0.779 3.366 3.857
F 1.673 5.804 1.524
F 1.025 2.322 5.528
F 1.025 7.962 0.000
F 1.673 4.479 4.005
F -0.779 6.917 1.671
F -1.673 5.804 4.005
F -0.779 3.366 7.200
```

***

(4)
Here is crystalline Pm4GeTe2Cl2 at its relaxed geometry from Alexandria. Energies are from PBE.

Computed properties:
Final energy (eV per atom): -5.17
Formation energy without anion corrections (eV per atom): -1.4343
Symmetry: C2/m

```
9
Lattice="8.266 -2.147 0.000 8.266 2.147 0.000 -3.856 0.000 7.746" Properties=species:S:1:pos:R:3 pbc="T T T"
Pm -0.840 0.000 2.268
Pm 3.799 0.000 2.375
Pm 8.877 0.000 5.372
Pm 13.515 0.000 5.479
Ge 6.338 0.000 3.873
Te 2.927 0.000 5.575
Te 9.749 0.000 2.171
Cl -0.715 0.000 6.995
Cl 13.390 0.000 0.752
```

***

(5)
Here is crystalline YZrRe2 at its relaxed geometry from Alexandria. Energies are from PBE.

Computed properties:
Energy relative to the elements (eV/atom): 0.2244
Final energy (eV per atom): -9.75
Excess energy over the best structure of this formula in the dataset (meV per atom): 219.7
Symmetry: Pm

```
4
Lattice="3.054 0.000 0.000 0.000 4.472 0.000 -1.244 0.000 5.622" Properties=species:S:1:pos:R:3 pbc="T T T"
Y 0.000 0.000 0.000
Zr 1.853 2.236 1.597
Re -0.119 2.236 4.088
Re 0.790 0.000 2.973
```

***

(6)
Here is crystalline NaCuSe3 at its relaxed geometry from Alexandria. Energies are from PBE.

Computed properties:
Final energy (eV per atom): -3.21
Excess energy over the best structure of this formula in the dataset (meV per atom): 317.7
Formation energy without anion corrections (eV per atom): -0.0359
Symmetry: Pm-3m

```
5
Lattice="4.893 0.000 0.000 0.000 4.893 0.000 0.000 0.000 4.893" Properties=species:S:1:pos:R:3 pbc="T T T"
Na 0.000 0.000 0.000
Cu 2.447 2.447 2.447
Se 0.000 2.447 2.447
Se 2.447 0.000 2.447
Se 2.447 2.447 0.000
```